## Ge2SeS (PBE)

Data for Ge2SeS after structural relaxation.

abc: 3.7753 4.4898 10.9343
angles: 90.00 90.00 90.00
Closest atoms and distances in Å follow each position.
Fractional positions:
Ge (0.0000, 0.1053, 0.0000)  2 S 2.48, 1 Se 2.62
Ge (0.0000, 0.8947, 0.5000)  2 S 2.48, 1 Se 2.62
Ge (0.5000, 0.3550, 0.2511)  1 S 2.44, 2 Se 2.58
Ge (0.5000, 0.6450, 0.7511)  1 S 2.44, 2 Se 2.58
Se (0.0000, 0.2543, 0.7687)  3 Ge 2.58-2.62
Se (0.0000, 0.7457, 0.2687)  3 Ge 2.58-2.62
S (0.5000, 0.2469, 0.4696)  3 Ge 2.44-2.48
S (0.5000, 0.7531, 0.9696)  3 Ge 2.44-2.48

Summary:
total moment = 0.00 μB per atom
final energy = -4.448 eV/atom
ΔE_f (raw) = -0.24 eV per atom
density = 4.59 g/cm³